Entry 1:
## NdNi4As3 (GGA-PBE)

Data for NdNi4As3 after structural relaxation.

a = 4.047 Å, b = 4.047 Å, c = 7.675 Å
α = 90.00°, β = 90.00°, γ = 90.00°
Positions (direct):
Ni (0.500, 0.000, 0.171)
Ni (0.000, 0.500, 0.171)
Ni (0.500, 0.000, 0.829)
Ni (0.000, 0.500, 0.829)
As (0.000, 0.000, 0.000)
As (0.500, 0.500, 0.327)
As (0.500, 0.500, 0.673)
Nd (0.000, 0.000, 0.500)

Theoretical density ... 8.0 Mg/m³
Total energy ... -46.3 eV/cell
Fermi-level density of states ... 0.550 states/eV/atom


Entry 2:
## Nd3Ni4As4 (GGA-PBE)

Data for Nd3Ni4As4 after structural relaxation.

a = 4.103 Å, b = 4.108 Å, c = 12.393 Å
α = 80.43°, β = 80.45°, γ = 90.02°
Positions (direct):
Nd (0.152, 0.652, 0.696)
Nd (0.848, 0.348, 0.304)
Nd (0.000, 0.000, 0.000)
Ni (0.598, 0.097, 0.806)
Ni (0.250, 0.250, 0.500)
Ni (0.750, 0.750, 0.500)
Ni (0.402, 0.903, 0.194)
As (0.555, 0.555, 0.890)
As (0.445, 0.445, 0.110)
As (0.304, 0.805, 0.391)
As (0.696, 0.195, 0.609)

Theoretical density ... 7.9 Mg/m³
Total energy ... -66.3 eV/cell
Fermi-level density of states ... 0.549 states/eV/atom